(1)
# PBE-GGA Na2USnS6, optimized geometry
data_Na2USnS6
_chemical_formula_sum 'Na6 U3 Sn3 S18'
_cell_length_a 6.8888
_cell_length_b 6.8888
_cell_length_c 17.5483
_cell_angle_alpha 90.00
_cell_angle_beta 90.00
_cell_angle_gamma 120.00
_symmetry_space_group_name_H-M 'R 3'
_symmetry_Int_Tables_number 146
_symmetry_space_group_name_Hall 'R 3'
loop_
_atom_site_label
_atom_site_type_symbol
_atom_site_fract_x
_atom_site_fract_y
_atom_site_fract_z
Na1 Na 0.0000 0.0000 0.0000
Na2 Na 0.0000 0.0000 0.4972
U1 U 0.0000 0.0000 0.7113
Sn1 Sn 0.0000 0.0000 0.2138
S1 S 0.0657 0.3435 0.2914
S2 S 0.0664 0.7297 0.7906
# E_form (uncorrected): -850 meV per atom
# M_tot: 0.00 Bohr magnetons per cell

---

(2)
# PBE-GGA BiAuO2F, optimized geometry
data_BiAuO2F
_chemical_formula_sum 'Bi1 Au1 O2 F1'
_cell_length_a 4.3327
_cell_length_b 4.3327
_cell_length_c 4.4578
_cell_angle_alpha 90.00
_cell_angle_beta 90.00
_cell_angle_gamma 90.00
_symmetry_space_group_name_H-M 'P 4/m m m'
_symmetry_Int_Tables_number 123
_symmetry_space_group_name_Hall '-P 4 2'
loop_
_atom_site_label
_atom_site_type_symbol
_atom_site_fract_x
_atom_site_fract_y
_atom_site_fract_z
Bi1 Bi 0.0000 0.0000 0.0000
Au1 Au 0.5000 0.5000 0.5000
O1 O 0.0000 0.5000 0.0000
F1 F 0.0000 0.0000 0.5000
# E_form (uncorrected): -511 meV per atom
# M_tot: 0.00 Bohr magnetons per cell

---

(3)
# PBE-GGA TbHoEr2, optimized geometry
data_TbHoEr2
_chemical_formula_sum 'Tb3 Ho3 Er6'
_cell_length_a 3.5452
_cell_length_b 3.5452
_cell_length_c 33.9956
_cell_angle_alpha 90.00
_cell_angle_beta 90.00
_cell_angle_gamma 120.00
_symmetry_space_group_name_H-M 'R 3 m'
_symmetry_Int_Tables_number 160
_symmetry_space_group_name_Hall 'R 3 -2"'
loop_
_atom_site_label
_atom_site_type_symbol
_atom_site_fract_x
_atom_site_fract_y
_atom_site_fract_z
Tb1 Tb 0.0000 0.0000 0.0000
Ho1 Ho 0.0000 0.0000 0.1660
Er1 Er 0.0000 0.0000 0.4171
Er2 Er 0.0000 0.0000 0.5825
# M_tot: 0.00 Bohr magnetons per cell
# Relative energy among the computed polymorphs: 0.003 eV/atom
# ΔE_f: 0.008 eV/atom

---

- Which formula does entry 2 have?
  BiAuO2F

---

- Look up the M_tot of the first one.
  0.00 Bohr magnetons per cell